Record 1
A relaxed structure of LaZrAgSe2. Source: the Alexandria database, functional PBE-GGA. Values from VASP.

```
&SYSTEM
  ibrav = 0, nat = 5, ntyp = 4
/
ATOMIC_SPECIES
La 138.91 La.upf
Se 78.96 Se.upf
Ag 107.87 Ag.upf
Zr 91.22 Zr.upf
CELL_PARAMETERS angstrom
-4.686 2.117 -0.255
-2.209 -4.853 0.306
-0.110 0.374 5.133
ATOMIC_POSITIONS angstrom
La -1.104 -2.427 0.153
Se -2.343 1.058 -0.127
Ag 0.000 0.000 0.000
Zr -3.502 -1.181 2.592
Se -0.055 0.187 2.567
```

Computed properties:
crystal system: tetragonal
space-group type: P4/mmm (123)
final energy: -4.316 eV per atom



Record 2
A relaxed structure of KBiRh3. Source: the Alexandria database, functional PBE-GGA. Values from VASP.

```
&SYSTEM
  ibrav = 0, nat = 5, ntyp = 3
/
ATOMIC_SPECIES
Rh 102.91 Rh.upf
Bi 208.98 Bi.upf
K 39.10 K.upf
CELL_PARAMETERS angstrom
-3.785 3.317 -0.826
-2.545 -1.913 3.984
2.281 3.369 3.075
ATOMIC_POSITIONS angstrom
Rh -1.892 1.658 -0.413
Bi 0.000 0.000 0.000
K -2.024 2.386 3.117
Rh 1.141 1.684 1.537
Rh -1.272 -0.956 1.992
```

Computed properties:
crystal system: cubic
space-group type: Pm-3m (221)
final energy: -4.542 eV per atom
E above lowest polymorph: 0.00 kJ/mol of atoms
formation energy from the elements: 0.865 eV/atom



Record 3
A relaxed structure of Pm3SmRh2. Source: the Alexandria database, functional PBE-GGA. Values from VASP.

```
&SYSTEM
  ibrav = 0, nat = 12, ntyp = 3
/
ATOMIC_SPECIES
Rh 102.91 Rh.upf
Pm 145.00 Pm.upf
Sm 150.36 Sm.upf
CELL_PARAMETERS angstrom
4.882 0.000 0.000
0.000 7.265 0.000
0.000 0.000 8.885
ATOMIC_POSITIONS angstrom
Rh 0.000 1.869 5.938
Pm 0.000 3.583 8.119
Rh 2.441 5.397 7.376
Rh 2.441 1.764 1.509
Sm 2.441 0.051 3.680
Pm 2.441 1.018 7.451
Pm 2.441 4.650 1.434
Pm 0.000 7.215 0.765
Pm 0.000 2.613 3.019
Rh 0.000 5.501 2.947
Sm 2.441 3.684 5.205
Pm 0.000 6.246 5.866
```

Computed properties:
crystal system: orthorhombic
space-group type: Pmc2_1 (26)
final energy: -6.169 eV per atom
E above lowest polymorph: 0.00 kJ/mol of atoms
formation energy from the elements: -0.557 eV/atom



Record 4
A relaxed structure of Pm2DyUAs4. Source: the Alexandria database, functional PBE-GGA. Values from VASP.

```
&SYSTEM
  ibrav = 0, nat = 8, ntyp = 4
/
ATOMIC_SPECIES
Pm 145.00 Pm.upf
As 74.92 As.upf
Dy 162.50 Dy.upf
U 238.03 U.upf
CELL_PARAMETERS angstrom
4.151 0.000 0.000
0.000 7.211 0.144
0.000 -2.503 6.772
ATOMIC_POSITIONS angstrom
Pm 0.000 2.354 3.458
As 0.000 4.770 1.727
As 0.000 -0.062 5.188
Pm 2.076 -1.251 3.386
Dy 0.000 0.000 0.000
As 2.076 3.499 5.261
U 2.076 3.606 0.072
As 2.076 1.210 1.654
```

Computed properties:
crystal system: monoclinic
space-group type: P2/m (10)
final energy: -6.826 eV per atom
formation energy from the elements: -1.327 eV/atom



Record 5
A relaxed structure of AcAgHgPd. Source: the Alexandria database, functional PBE-GGA. Values from VASP.

```
&SYSTEM
  ibrav = 0, nat = 4, ntyp = 4
/
ATOMIC_SPECIES
Ag 107.87 Ag.upf
Ac 227.00 Ac.upf
Pd 106.42 Pd.upf
Hg 200.59 Hg.upf
CELL_PARAMETERS angstrom
-3.406 -1.017 -3.300
-0.305 -1.871 4.455
-1.259 5.514 -0.400
ATOMIC_POSITIONS angstrom
Ag -3.228 -1.298 0.167
Ac -2.814 1.687 -1.180
Pd -2.709 2.802 1.932
Hg -1.641 4.800 0.215
```

Computed properties:
crystal system: monoclinic
space-group type: Cm (8)
final energy: -3.559 eV per atom
E above lowest polymorph: 0.00 kJ/mol of atoms
formation energy from the elements: -0.446 eV/atom



Record 6
A relaxed structure of Na2BiIrO6. Source: the Alexandria database, functional PBE-GGA. Values from VASP.

```
&SYSTEM
  ibrav = 0, nat = 10, ntyp = 4
/
ATOMIC_SPECIES
Na 22.99 Na.upf
O 16.00 O.upf
Ir 192.22 Ir.upf
Bi 208.98 Bi.upf
CELL_PARAMETERS angstrom
-4.015 0.427 2.183
0.609 -5.300 2.156
2.721 2.176 4.580
ATOMIC_POSITIONS angstrom
Na 1.315 1.093 2.315
Na 0.259 -2.645 1.103
O -0.618 0.799 5.592
O -0.845 0.090 0.460
O -1.780 -3.314 4.259
Ir -2.396 0.255 1.302
O -0.283 -2.117 6.778
O 1.068 -1.499 3.693
O -2.115 -0.398 3.072
Bi -0.799 -1.300 4.708
```

Computed properties:
crystal system: tetragonal
space-group type: P4mm (99)
final energy: -5.481 eV per atom



Record 7
A relaxed structure of K2HgF7. Source: the Alexandria database, functional PBE-GGA. Values from VASP.

```
&SYSTEM
  ibrav = 0, nat = 20, ntyp = 3
/
ATOMIC_SPECIES
K 39.10 K.upf
F 19.00 F.upf
Hg 200.59 Hg.upf
CELL_PARAMETERS angstrom
-5.242 -5.274 2.991
-0.886 -7.061 -3.265
2.020 -5.076 5.330
ATOMIC_POSITIONS angstrom
K -2.283 -13.348 2.599
F 0.825 -7.158 4.423
F -2.450 -11.864 5.017
F 0.067 -11.906 2.997
F -2.266 -8.684 0.085
F -4.934 -10.253 0.632
Hg -0.712 -7.121 -0.801
K -3.866 -8.301 2.147
F -0.121 -10.640 0.517
Hg -3.396 -10.290 5.857
F -1.843 -8.728 4.970
F -4.574 -9.935 4.290
F -3.988 -6.771 4.538
F -0.610 -6.373 3.292
F -4.176 -5.506 2.058
K -1.826 -4.064 2.456
F -3.499 -11.038 1.764
F 0.465 -7.476 0.766
F -1.659 -5.548 0.039
K -0.242 -9.110 2.909
```

Computed properties:
crystal system: monoclinic
space-group type: C2/c (15)
final energy: -3.131 eV per atom



Record 8
A relaxed structure of Ho3PtPbS. Source: the Alexandria database, functional PBE-GGA. Values from VASP.

```
&SYSTEM
  ibrav = 0, nat = 12, ntyp = 4
/
ATOMIC_SPECIES
S 32.06 S.upf
Pb 207.20 Pb.upf
Pt 195.08 Pt.upf
Ho 164.93 Ho.upf
CELL_PARAMETERS angstrom
-2.041 3.463 -2.068
-5.426 -4.466 -2.125
-1.860 4.081 8.671
ATOMIC_POSITIONS angstrom
S -2.512 2.760 4.632
Pb -6.881 2.277 3.194
Pt -4.738 -1.762 -0.745
Ho -2.540 4.191 7.056
S -6.815 0.317 -0.154
Ho -5.502 -0.523 2.084
Pt -4.589 4.839 5.223
Pb -2.446 0.800 1.284
Ho -4.341 1.113 -1.263
Ho -6.787 -1.114 -2.578
Ho -3.825 3.600 2.394
Ho -4.986 1.964 5.741
```

Computed properties:
crystal system: monoclinic
space-group type: P2_1/m (11)
final energy: -5.667 eV per atom